# TcOsPt2 GGA-PBEsol optimized geometry
# polymorph energy (0 for the lowest one) = 0.021 eV per atom
# total magnetization = 0.000 μB per formula unit
# energy of formation = -0.27 eV per formula unit
# energy = -37.677 eV per formula unit
data_TcOsPt2
_chemical_formula_sum 'Tc1 Os1 Pt2'
_symmetry_space_group_name_H-M 'P 1'
_symmetry_Int_Tables_number 1
_cell_length_a 2.7200
_cell_length_b 2.7200
_cell_length_c 9.1668
_cell_angle_alpha 81.47
_cell_angle_beta 81.47
_cell_angle_gamma 60.00
loop_
_symmetry_equiv_pos_as_xyz
'x,y,z'
loop_
_atom_site_label
_atom_site_type_symbol
_atom_site_fract_x
_atom_site_fract_y
_atom_site_fract_z
Os1 Os 0.2464 0.2464 0.2609
Pt1 Pt 0.7527 0.7527 0.7420
Pt2 Pt 0.9982 0.9982 0.0054
Tc1 Tc 0.5028 0.5028 0.4917

=====

# Te2OsPt GGA-PBEsol optimized geometry
# polymorph energy (0 for the lowest one) = 0.713 eV per atom
# total magnetization = 0.003 μB per formula unit
# energy = -22.282 eV per formula unit
data_Te2OsPt
_chemical_formula_sum 'Te2 Os1 Pt1'
_symmetry_space_group_name_H-M 'P 1'
_symmetry_Int_Tables_number 1
_cell_length_a 4.7590
_cell_length_b 4.7590
_cell_length_c 4.7590
_cell_angle_alpha 60.00
_cell_angle_beta 60.00
_cell_angle_gamma 60.00
loop_
_symmetry_equiv_pos_as_xyz
'x,y,z'
loop_
_atom_site_label
_atom_site_type_symbol
_atom_site_fract_x
_atom_site_fract_y
_atom_site_fract_z
Os1 Os 0.5000 0.5000 0.5000
Pt1 Pt 0.2500 0.2500 0.2500
Te1 Te 0.0000 0.0000 0.0000
Te2 Te 0.7500 0.7500 0.7500

=====

Question: Among the records above, which one has the highest polymorph energy (0 for the lowest one)?
Answer: Te2OsPt

=====

Question: Number 2 is which compound?
Answer: Te2OsPt

=====

Question: Which of these has the lowest polymorph energy (0 for the lowest one)?
Answer: TcOsPt2

=====

Please write out number 2 again, unchanged.
# Te2OsPt GGA-PBEsol optimized geometry
# polymorph energy (0 for the lowest one) = 0.713 eV per atom
# total magnetization = 0.003 μB per formula unit
# energy = -22.282 eV per formula unit
data_Te2OsPt
_chemical_formula_sum 'Te2 Os1 Pt1'
_symmetry_space_group_name_H-M 'P 1'
_symmetry_Int_Tables_number 1
_cell_length_a 4.7590
_cell_length_b 4.7590
_cell_length_c 4.7590
_cell_angle_alpha 60.00
_cell_angle_beta 60.00
_cell_angle_gamma 60.00
loop_
_symmetry_equiv_pos_as_xyz
'x,y,z'
loop_
_atom_site_label
_atom_site_type_symbol
_atom_site_fract_x
_atom_site_fract_y
_atom_site_fract_z
Os1 Os 0.5000 0.5000 0.5000
Pt1 Pt 0.2500 0.2500 0.2500
Te1 Te 0.0000 0.0000 0.0000
Te2 Te 0.7500 0.7500 0.7500